No. 1
This record from Alexandria describes SiSbI2N at its PBEsol-relaxed geometry. The functional is SCAN.

Structure (CIF):
```
data_SiSbI2N
_cell_length_a 5.998
_cell_length_b 5.998
_cell_length_c 3.912
_cell_angle_alpha 90.00
_cell_angle_beta 90.00
_cell_angle_gamma 90.00
_space_group_name_H-M_alt 'P 4/m m m'
_space_group_IT_number 123
_space_group_name_Hall '-P 4 2'
loop_
_atom_site_label
_atom_site_type_symbol
_atom_site_fract_x
_atom_site_fract_y
_atom_site_fract_z
Si1 Si 0.000 0.000 0.000
Sb1 Sb 0.500 0.500 0.500
I1 I 0.000 0.500 0.500
N1 N 0.500 0.500 0.000
```

Output
The calculation puts the density of states at the Fermi level at 2.59 states/eV/f.u. As for the crystal system: tetragonal. As for the formation energy from raw total energies: 527 kJ/mol of formula units.

No. 2
This record from Alexandria describes ScTl2Ag at its PBEsol-relaxed geometry. The functional is SCAN.

Structure (CIF):
```
data_ScTl2Ag
_cell_length_a 4.579
_cell_length_b 4.579
_cell_length_c 4.070
_cell_angle_alpha 90.00
_cell_angle_beta 90.00
_cell_angle_gamma 90.00
_space_group_name_H-M_alt 'P 4/m m m'
_space_group_IT_number 123
_space_group_name_Hall '-P 4 2'
loop_
_atom_site_label
_atom_site_type_symbol
_atom_site_fract_x
_atom_site_fract_y
_atom_site_fract_z
Sc1 Sc 0.000 0.000 0.000
Tl1 Tl 0.000 0.500 0.500
Ag1 Ag 0.500 0.500 0.000
```

Output
The calculation puts the density of states at the Fermi level at 2.16 states/eV/f.u. As for the crystal system: tetragonal. Its formation energy is -0.20 eV per atom.

Copy entry 2 word for word.
This record from Alexandria describes ScTl2Ag at its PBEsol-relaxed geometry. The functional is SCAN.

Structure (CIF):
```
data_ScTl2Ag
_cell_length_a 4.579
_cell_length_b 4.579
_cell_length_c 4.070
_cell_angle_alpha 90.00
_cell_angle_beta 90.00
_cell_angle_gamma 90.00
_space_group_name_H-M_alt 'P 4/m m m'
_space_group_IT_number 123
_space_group_name_Hall '-P 4 2'
loop_
_atom_site_label
_atom_site_type_symbol
_atom_site_fract_x
_atom_site_fract_y
_atom_site_fract_z
Sc1 Sc 0.000 0.000 0.000
Tl1 Tl 0.000 0.500 0.500
Ag1 Ag 0.500 0.500 0.000
```

Output
The calculation puts the density of states at the Fermi level at 2.16 states/eV/f.u. As for the crystal system: tetragonal. Its formation energy is -0.20 eV per atom.

Number 2 is which compound? ScTl2Ag

Repeat the first record exactly.
This record from Alexandria describes SiSbI2N at its PBEsol-relaxed geometry. The functional is SCAN.

Structure (CIF):
```
data_SiSbI2N
_cell_length_a 5.998
_cell_length_b 5.998
_cell_length_c 3.912
_cell_angle_alpha 90.00
_cell_angle_beta 90.00
_cell_angle_gamma 90.00
_space_group_name_H-M_alt 'P 4/m m m'
_space_group_IT_number 123
_space_group_name_Hall '-P 4 2'
loop_
_atom_site_label
_atom_site_type_symbol
_atom_site_fract_x
_atom_site_fract_y
_atom_site_fract_z
Si1 Si 0.000 0.000 0.000
Sb1 Sb 0.500 0.500 0.500
I1 I 0.000 0.500 0.500
N1 N 0.500 0.500 0.000
```

Output
The calculation puts the density of states at the Fermi level at 2.59 states/eV/f.u. As for the crystal system: tetragonal. As for the formation energy from raw total energies: 527 kJ/mol of formula units.